Computed, not measured: a relaxed structure of LiCaHoIr at the GGA-PBE level of DFT.

Geometry as extended XYZ:
```
4
Lattice="0.0000 3.4839 3.4839 3.4839 0.0000 3.4839 3.4839 3.4839 0.0000" Properties=species:S:1:pos:R:3 pbc="T T T"
Li 0.0000 0.0000 0.0000
Ca 5.2259 5.2259 5.2259
Ho 1.7420 1.7420 1.7420
Ir 3.4839 3.4839 3.4839
```

Properties
The magnetization comes out at 0.00 μB per cell. As for the raw total energy: -18.932 eV per formula unit. For the calculated formation energy, the calculation gives -0.394 eV per atom.